[1]
First-principles (PBE) data for a relaxed structure of GaGeIr2, as listed in the Alexandria database. Values from VASP.

```
&SYSTEM
  ibrav = 0, nat = 4, ntyp = 3
/
ATOMIC_SPECIES
Ga 69.72 Ga.upf
Ge 72.64 Ge.upf
Ir 192.22 Ir.upf
ATOMIC_POSITIONS angstrom
Ga 0.000 0.000 0.000
Ge 0.000 0.000 3.419
Ir 1.462 1.462 1.748
Ir 1.462 1.462 5.091
CELL_PARAMETERS angstrom
2.923 0.000 0.000
0.000 2.923 0.000
0.000 0.000 6.839
```

Computed properties:
space group	P4/mmm
magnetic moment	0.0	μB per cell
raw total energy	-0.4820	Ry/atom

[2]
First-principles (PBE) data for a relaxed structure of GaGeIr2, as listed in the Alexandria database. Values from VASP.

```
&SYSTEM
  ibrav = 0, nat = 8, ntyp = 3
/
ATOMIC_SPECIES
Ga 69.72 Ga.upf
Ge 72.64 Ge.upf
Ir 192.22 Ir.upf
ATOMIC_POSITIONS angstrom
Ga 0.000 0.000 0.000
Ga 0.000 2.775 2.800
Ge 2.775 0.000 2.800
Ge 0.000 0.000 5.601
Ir 1.387 -1.345 4.201
Ir 1.429 1.387 1.400
Ir 1.387 4.120 -1.400
Ir 1.345 1.387 7.001
CELL_PARAMETERS angstrom
-2.775 2.775 5.601
2.775 -2.775 5.601
2.775 2.775 -5.601
```

Computed properties:
space group	I-42d
magnetic moment	0.0	μB per cell
raw total energy	-0.4412	Ry/atom

[3]
First-principles (PBE) data for a relaxed structure of GaGeIr, as listed in the Alexandria database. Values from VASP.

```
&SYSTEM
  ibrav = 0, nat = 6, ntyp = 3
/
ATOMIC_SPECIES
Ga 69.72 Ga.upf
Ge 72.64 Ge.upf
Ir 192.22 Ir.upf
ATOMIC_POSITIONS angstrom
Ga 2.183 2.072 2.025
Ga 4.053 -2.072 0.000
Ge 4.905 0.916 0.793
Ge 3.035 -0.916 2.818
Ir 2.452 -0.001 0.398
Ir 0.582 0.001 2.423
CELL_PARAMETERS angstrom
4.053 -2.976 0.000
4.053 2.976 0.000
-3.740 0.000 4.050
```

Computed properties:
space group	Cc
energy above the most stable polymorph in this dataset	26	meV/atom
magnetic moment	0.0	μB per cell
raw total energy	-0.4243	Ry/atom

[4]
First-principles (PBE) data for a relaxed structure of Ga8GeIr2, as listed in the Alexandria database. Values from VASP.

```
&SYSTEM
  ibrav = 0, nat = 11, ntyp = 3
/
ATOMIC_SPECIES
Ga 69.72 Ga.upf
Ge 72.64 Ge.upf
Ir 192.22 Ir.upf
ATOMIC_POSITIONS angstrom
Ga 0.472 0.000 1.664
Ga 4.120 2.255 0.505
Ga 2.426 0.000 3.415
Ga 5.554 2.255 4.414
Ga 4.120 -2.255 0.505
Ga 7.248 0.000 1.504
Ga 5.554 -2.255 4.414
Ga 9.202 0.000 3.254
Ge 4.837 0.000 2.459
Ir 2.971 0.000 0.875
Ir 6.702 0.000 4.044
CELL_PARAMETERS angstrom
5.433 -3.848 0.000
5.433 3.848 0.000
-1.192 0.000 4.919
```

Computed properties:
space group	C2/m
magnetic moment	0.0	μB per cell
raw total energy	-0.3203	Ry/atom

[5]
First-principles (PBE) data for a relaxed structure of GaGe2Ir, as listed in the Alexandria database. Values from VASP.

```
&SYSTEM
  ibrav = 0, nat = 8, ntyp = 3
/
ATOMIC_SPECIES
Ga 69.72 Ga.upf
Ge 72.64 Ge.upf
Ir 192.22 Ir.upf
ATOMIC_POSITIONS angstrom
Ga 1.984 3.618 5.937
Ga 1.984 -3.618 1.979
Ge 1.984 1.211 4.315
Ge 1.984 1.211 7.560
Ge 1.984 -1.211 0.357
Ge 1.984 -1.211 3.601
Ir 1.984 2.515 1.979
Ir 1.984 -2.515 5.937
CELL_PARAMETERS angstrom
1.984 -4.339 0.000
1.984 4.339 0.000
0.000 0.000 7.917
```

Computed properties:
space group	Cmcm
magnetic moment	0.0	μB per cell
raw total energy	-0.4048	Ry/atom

[6]
First-principles (PBE) data for a relaxed structure of Ga6GeIr, as listed in the Alexandria database. Values from VASP.

```
&SYSTEM
  ibrav = 0, nat = 8, ntyp = 3
/
ATOMIC_SPECIES
Ga 69.72 Ga.upf
Ge 72.64 Ge.upf
Ir 192.22 Ir.upf
ATOMIC_POSITIONS angstrom
Ga 0.392 2.324 4.048
Ga -0.644 0.000 4.760
Ga 3.333 2.324 1.519
Ga 0.392 -2.324 4.048
Ga 4.369 0.000 0.807
Ga 3.333 -2.324 1.519
Ge 1.863 0.000 2.784
Ir 0.000 0.000 0.000
CELL_PARAMETERS angstrom
3.348 -4.278 0.000
3.348 4.278 0.000
-2.971 0.000 5.567
```

Computed properties:
space group	C2/m
magnetic moment	0.0	μB per cell
raw total energy	-0.2912	Ry/atom

[7]
First-principles (PBE) data for a relaxed structure of GaGe2Ir, as listed in the Alexandria database. Values from VASP.

```
&SYSTEM
  ibrav = 0, nat = 8, ntyp = 3
/
ATOMIC_SPECIES
Ga 69.72 Ga.upf
Ge 72.64 Ge.upf
Ir 192.22 Ir.upf
ATOMIC_POSITIONS angstrom
Ga 0.000 0.000 0.000
Ga 0.000 2.830 2.897
Ge 1.415 -1.259 4.346
Ge 1.572 1.415 1.449
Ge 1.415 4.089 -1.449
Ge 1.259 1.415 7.244
Ir 2.830 0.000 2.897
Ir 0.000 0.000 5.795
CELL_PARAMETERS angstrom
-2.830 2.830 5.795
2.830 -2.830 5.795
2.830 2.830 -5.795
```

Computed properties:
space group	I-42d
magnetic moment	0.0	μB per cell
raw total energy	-0.3749	Ry/atom

[8]
First-principles (PBE) data for a relaxed structure of GaGeIr2, as listed in the Alexandria database. Values from VASP.

```
&SYSTEM
  ibrav = 0, nat = 4, ntyp = 3
/
ATOMIC_SPECIES
Ga 69.72 Ga.upf
Ge 72.64 Ge.upf
Ir 192.22 Ir.upf
ATOMIC_POSITIONS angstrom
Ga 0.000 0.000 0.000
Ge 0.000 0.000 12.267
Ir 0.000 0.000 3.517
Ir 0.000 0.000 6.298
CELL_PARAMETERS angstrom
1.951 1.126 4.964
-1.951 1.126 4.964
0.000 -2.253 4.964
```

Computed properties:
space group	R3m
magnetic moment	0.0	μB per cell
raw total energy	-0.4784	Ry/atom

[9]
First-principles (PBE) data for a relaxed structure of GaGe2Ir, as listed in the Alexandria database. Values from VASP.

```
&SYSTEM
  ibrav = 0, nat = 4, ntyp = 3
/
ATOMIC_SPECIES
Ga 69.72 Ga.upf
Ge 72.64 Ge.upf
Ir 192.22 Ir.upf
ATOMIC_POSITIONS angstrom
Ga 0.000 0.000 0.000
Ge 0.000 0.000 2.692
Ge 0.000 0.000 25.025
Ir 0.000 0.000 13.858
CELL_PARAMETERS angstrom
1.506 0.869 9.239
-1.506 0.869 9.239
0.000 -1.739 9.239
```

Computed properties:
space group	R-3m
magnetic moment	0.0	μB per cell
raw total energy	-0.3860	Ry/atom

[10]
First-principles (PBE) data for a relaxed structure of GaGe3Ir, as listed in the Alexandria database. Values from VASP.

```
&SYSTEM
  ibrav = 0, nat = 5, ntyp = 3
/
ATOMIC_SPECIES
Ga 69.72 Ga.upf
Ge 72.64 Ge.upf
Ir 192.22 Ir.upf
ATOMIC_POSITIONS angstrom
Ga 0.000 0.000 0.000
Ge 0.000 0.000 2.368
Ge 0.000 2.368 0.000
Ge 2.368 0.000 0.000
Ir 2.368 2.368 2.368
CELL_PARAMETERS angstrom
4.735 0.000 0.000
0.000 4.735 0.000
0.000 0.000 4.735
```

Computed properties:
space group	Pm-3m
energy above the most stable polymorph in this dataset	832	meV/atom
magnetic moment	0.0	μB per cell
raw total energy	-0.2938	Ry/atom

[11]
First-principles (PBE) data for a relaxed structure of GaGe3Ir, as listed in the Alexandria database. Values from VASP.

```
&SYSTEM
  ibrav = 0, nat = 5, ntyp = 3
/
ATOMIC_SPECIES
Ga 69.72 Ga.upf
Ge 72.64 Ge.upf
Ir 192.22 Ir.upf
ATOMIC_POSITIONS angstrom
Ga 0.000 0.000 0.000
Ge 0.000 2.422 2.422
Ge 2.422 0.000 2.422
Ge 2.422 2.422 0.000
Ir 2.422 2.422 2.422
CELL_PARAMETERS angstrom
4.843 0.000 0.000
0.000 4.843 0.000
0.000 0.000 4.843
```

Computed properties:
space group	Pm-3m
energy above the most stable polymorph in this dataset	0	meV/atom
magnetic moment	0.0	μB per cell
raw total energy	-0.3549	Ry/atom

[12]
First-principles (PBE) data for a relaxed structure of GaGeIr, as listed in the Alexandria database. Values from VASP.

```
&SYSTEM
  ibrav = 0, nat = 3, ntyp = 3
/
ATOMIC_SPECIES
Ga 69.72 Ga.upf
Ge 72.64 Ge.upf
Ir 192.22 Ir.upf
ATOMIC_POSITIONS angstrom
Ga 0.000 0.000 0.000
Ge 0.000 2.515 1.468
Ir 2.178 1.257 1.468
CELL_PARAMETERS angstrom
4.356 0.000 0.000
-2.178 3.772 0.000
0.000 0.000 2.935
```

Computed properties:
space group	P-6m2
energy above the most stable polymorph in this dataset	336	meV/atom
magnetic moment	0.0	μB per cell
raw total energy	-0.4015	Ry/atom